[1]
Gd2IrAu after structural relaxation. Source: Alexandria, functional PBEsol.

The structure belongs to space group Fm-3m (No. 225); the cell edges are 6.968, 6.968 and 6.968 Å and the angles 90.00°, 90.00° and 90.00°. Symmetry generates all atoms from Gd at (0.250, 0.250, 0.250), Ir at (0.000, 0.000, 0.000) and Au at (0.000, 0.000, 0.500).

The mass density comes out at 13.82 Mg/m³. The calculation puts the total magnetization at 14.204 μB per formula unit. For the formation energy from the elements, the calculation gives -762 meV per atom.

[2]
LiGdAu2 after structural relaxation. Source: Alexandria, functional PBEsol.

The structure belongs to space group Fm-3m (No. 225); the cell edges are 6.815, 6.815 and 6.815 Å and the angles 90.00°, 90.00° and 90.00°. Symmetry generates all atoms from Li at (0.000, 0.000, 0.000), Gd at (0.000, 0.000, 0.500) and Au at (0.250, 0.250, 0.250).

The mass density comes out at 11.71 Mg/m³. The calculation puts the total magnetization at 7.298 μB per formula unit. For the formation energy from the elements, the calculation gives -656 meV per atom.

[3]
Gd3Sb4Au3 after structural relaxation. Source: Alexandria, functional PBEsol.

The structure belongs to space group I-43d (No. 220); the cell edges are 9.836, 9.836 and 9.836 Å and the angles 90.00°, 90.00° and 90.00°. Symmetry generates all atoms from Gd at (0.000, 0.250, 0.875), Sb at (0.088, 0.412, 0.588) and Au at (0.000, 0.250, 0.375).

The mass density comes out at 10.82 Mg/m³. The calculation puts the total magnetization at 20.969 μB per formula unit. The uncorrected formation energy comes out at -0.8976 eV per atom.

[4]
GeAu3 after structural relaxation. Source: Alexandria, functional PBEsol.

The structure belongs to space group Fm-3m (No. 225); the cell edges are 6.516, 6.516 and 6.516 Å and the angles 90.00°, 90.00° and 90.00°. Symmetry generates all atoms from Ge at (0.000, 0.000, 0.000), Au at (0.000, 0.000, 0.500) and Au at (0.250, 0.250, 0.250).

The mass density comes out at 15.93 Mg/m³. The calculation puts the total magnetization at 0.000 μB per formula unit. For the formation energy from the elements, the calculation gives 49 meV per atom.

What is the formula in the first record? Gd2IrAu

Please write out number 2 again, unchanged.
LiGdAu2 after structural relaxation. Source: Alexandria, functional PBEsol.

The structure belongs to space group Fm-3m (No. 225); the cell edges are 6.815, 6.815 and 6.815 Å and the angles 90.00°, 90.00° and 90.00°. Symmetry generates all atoms from Li at (0.000, 0.000, 0.000), Gd at (0.000, 0.000, 0.500) and Au at (0.250, 0.250, 0.250).

The mass density comes out at 11.71 Mg/m³. The calculation puts the total magnetization at 7.298 μB per formula unit. For the formation energy from the elements, the calculation gives -656 meV per atom.